Record 1
NbVB4 after structural relaxation, computed with PBE-GGA.

Properties
Space group: F-43m (216)
Final energy: -7.6035 eV per atom
Energy of formation from the pure elements: 0.046 eV/atom
N(E_F): 0.49 states/eV/atom

```
NbVB4
1.0
4.2024 0.0000 0.0000
2.1012 3.6393 0.0000
2.1012 1.2131 3.4312
Nb B V
1 4 1
direct
0.2500 0.2500 0.2500
0.6384 0.6384 0.0848
0.6384 0.0848 0.6384
0.6384 0.6384 0.6384
0.0848 0.6384 0.6384
0.0000 0.0000 0.0000
```

---

Record 2
Ca3Pm2NbN6 after structural relaxation, computed with PBE-GGA.

Properties
Space group: C2/m (12)
Final energy: -7.3840 eV per atom
N(E_F): 0.90 states/eV/atom
Formation energy (no corrections): -13.08 eV per formula unit

```
Ca3Pm2NbN6
1.0
-1.2276 -0.7165 5.8495
-0.9403 -4.5253 -3.8568
6.0213 -0.1065 0.2200
Ca Pm Nb N
3 2 1 6
direct
0.1610 0.8390 0.5000
0.8390 0.1610 0.5000
0.5000 0.5000 0.5000
0.3331 0.6669 0.0000
0.6669 0.3331 0.0000
0.0000 0.0000 0.0000
0.9251 0.6258 0.7747
0.7741 0.7741 0.2201
0.0749 0.3742 0.2253
0.6258 0.9251 0.7747
0.2259 0.2259 0.7799
0.3742 0.0749 0.2253
```

---

Record 3
K2SrTc after structural relaxation, computed with PBE-GGA.

Properties
Space group: Cmmm (65)
Final energy: -2.3693 eV per atom
Energy of formation from the pure elements: 1.191 eV/atom
N(E_F): 1.11 states/eV/atom
Distance to the lowest polymorph of the same formula: 0.327 eV/atom

```
K2SrTc
1.0
7.3175 0.0064 0.0000
-4.2225 5.9763 0.0000
0.0000 0.0000 3.7530
K Sr Tc
2 1 1
direct
0.0000 0.0000 0.0000
0.5000 0.5000 0.0000
0.5000 0.0000 0.5000
0.0000 0.5000 0.5000
```